The following is a DFT calculation (PBE) of K3Cd3In after structural relaxation.

Cell: 12.926 5.186 17.041 Å, 90.00 111.45 90.00°
Space group C2/m (No. 12)
Unique sites:
K: 0.020 0.000 0.379 (multiplicity 4)
K: 0.112 0.000 0.923 (multiplicity 4)
K: 0.242 0.500 0.763 (multiplicity 4)
Cd: 0.058 0.500 0.241 (multiplicity 4)
Cd: 0.095 0.500 0.081 (multiplicity 4)
Cd: 0.125 0.500 0.533 (multiplicity 4)
In: 0.247 0.500 0.414 (multiplicity 4)

Results
* E: -1.332 eV/atom
* formation energy: -79 meV per atom
* spin magnetization: 0.00 μB/atom